Record 1
First-principles (PBE) data for crystalline CsTlCuW2 at its relaxed geometry, as listed in the Alexandria database.

```
data_CsTlCuW2
_chemical_formula_sum 'Cs1 Tl1 Cu1 W2'
_cell_length_a 5.382
_cell_length_b 5.382
_cell_length_c 6.611
_cell_angle_alpha 90.00
_cell_angle_beta 90.00
_cell_angle_gamma 90.00
_symmetry_space_group_name_H-M 'P 4/m m m'
_symmetry_Int_Tables_number 123
_symmetry_space_group_name_Hall '-P 4 2'
loop_
_atom_site_label
_atom_site_type_symbol
_atom_site_fract_x
_atom_site_fract_y
_atom_site_fract_z
_atom_site_occupancy
Cs1 Cs 0.000 0.000 0.000 1
Tl1 Tl 0.000 0.000 0.500 1
Cu1 Cu 0.500 0.500 0.000 1
W1 W 0.000 0.500 0.500 1
```

Summary:
E_tot = -3.921 eV/atom
Energy of formation from the pure elements = 2.72 eV per atom
DOS(E_F) = 3.54 states/eV/f.u.


Record 2
First-principles (PBE) data for crystalline FeHgSN2 at its relaxed geometry, as listed in the Alexandria database.

```
data_FeHgSN2
_chemical_formula_sum 'Fe1 Hg1 S1 N2'
_cell_length_a 4.058
_cell_length_b 4.058
_cell_length_c 5.834
_cell_angle_alpha 90.00
_cell_angle_beta 90.00
_cell_angle_gamma 90.00
_symmetry_space_group_name_H-M 'P 4/m m m'
_symmetry_Int_Tables_number 123
_symmetry_space_group_name_Hall '-P 4 2'
loop_
_atom_site_label
_atom_site_type_symbol
_atom_site_fract_x
_atom_site_fract_y
_atom_site_fract_z
_atom_site_occupancy
Fe1 Fe 0.000 0.000 0.000 1
Hg1 Hg 0.500 0.500 0.500 1
S1 S 0.500 0.500 0.000 1
N1 N 0.000 0.500 0.500 1
```

Summary:
E_tot = -3.735 eV/atom
DOS(E_F) = 5.87 states/eV/f.u.
Formation energy (no corrections) = 2174 meV per atom
Excess energy over the best structure of this formula in the dataset = 6.74 eV/f.u.


Record 3
First-principles (PBE) data for crystalline TbP5O14 at its relaxed geometry, as listed in the Alexandria database.

```
data_TbP5O14
_chemical_formula_sum 'Tb4 P20 O56'
_cell_length_a 8.847
_cell_length_b 9.015
_cell_length_c 13.034
_cell_angle_alpha 90.00
_cell_angle_beta 90.20
_cell_angle_gamma 90.00
_symmetry_space_group_name_H-M 'P 1 21/c 1'
_symmetry_Int_Tables_number 14
loop_
_symmetry_equiv_pos_as_xyz
'x,y,z'
'-x,-y,-z'
'-x,y+1/2,-z+1/2'
'x,-y+1/2,z+1/2'
loop_
_atom_site_label
_atom_site_type_symbol
_atom_site_fract_x
_atom_site_fract_y
_atom_site_fract_z
_atom_site_occupancy
Tb1 Tb 0.221 0.188 0.001 1
P1 P 0.003 0.502 0.700 1
P2 P 0.182 0.744 0.500 1
P3 P 0.258 0.546 0.165 1
P4 P 0.266 0.548 0.835 1
P5 P 0.497 0.001 0.829 1
O1 O 0.028 0.690 0.998 1
O2 O 0.088 0.116 0.855 1
O3 O 0.089 0.116 0.146 1
O4 O 0.101 0.581 0.216 1
O5 O 0.116 0.592 0.776 1
O6 O 0.211 0.582 0.500 1
O7 O 0.268 0.098 0.386 1
O8 O 0.272 0.098 0.612 1
O9 O 0.281 0.688 0.096 1
O10 O 0.286 0.687 0.908 1
O11 O 0.378 0.581 0.252 1
O12 O 0.396 0.582 0.756 1
O13 O 0.417 0.118 0.117 1
O14 O 0.419 0.121 0.886 1
```

Summary:
E_tot = -7.389 eV/atom
DOS(E_F) = 0.00 states/eV/f.u.
Formation energy (no corrections) = -2334 meV per atom


Record 4
First-principles (PBE) data for crystalline CaLuTe2 at its relaxed geometry, as listed in the Alexandria database.

```
data_CaLuTe2
_chemical_formula_sum 'Ca3 Lu3 Te6'
_cell_length_a 4.3555
_cell_length_b 4.3555
_cell_length_c 21.7007
_cell_angle_alpha 90.00
_cell_angle_beta 90.00
_cell_angle_gamma 120.00
_symmetry_space_group_name_H-M 'R -3 m'
_symmetry_Int_Tables_number 166
_symmetry_space_group_name_Hall '-R 3 2"'
loop_
_atom_site_label
_atom_site_type_symbol
_atom_site_fract_x
_atom_site_fract_y
_atom_site_fract_z
_atom_site_occupancy
Ca1 Ca 0.0000 0.0000 0.0000 1
Lu1 Lu 0.0000 0.0000 0.5000 1
Te1 Te 0.0000 0.0000 0.2461 1
```

Summary:
E_tot = -4.570 eV/atom
DOS(E_F) = 1.74 states/eV/f.u.
Formation energy (no corrections) = -1369 meV per atom


Record 5
First-principles (PBE) data for crystalline LiTbPmSi at its relaxed geometry, as listed in the Alexandria database.

```
data_LiTbPmSi
_chemical_formula_sum 'Li4 Tb4 Pm4 Si4'
_cell_length_a 7.144
_cell_length_b 7.144
_cell_length_c 7.144
_cell_angle_alpha 90.00
_cell_angle_beta 90.00
_cell_angle_gamma 90.00
_symmetry_space_group_name_H-M 'F -4 3 m'
_symmetry_Int_Tables_number 216
_symmetry_space_group_name_Hall 'F -4 2 3'
loop_
_atom_site_label
_atom_site_type_symbol
_atom_site_fract_x
_atom_site_fract_y
_atom_site_fract_z
_atom_site_occupancy
Li1 Li 0.000 0.000 0.000 1
Tb1 Tb 0.250 0.250 0.250 1
Pm1 Pm 0.250 0.250 0.750 1
Si1 Si 0.000 0.000 0.500 1
```

Summary:
E_tot = -4.537 eV/atom
DOS(E_F) = 2.19 states/eV/f.u.
Formation energy (no corrections) = -358 meV per atom


Record 6
First-principles (PBE) data for crystalline TmCd3In2 at its relaxed geometry, as listed in the Alexandria database.

```
data_TmCd3In2
_chemical_formula_sum 'Tm4 Cd12 In8'
_cell_length_a 6.418
_cell_length_b 16.282
_cell_length_c 5.728
_cell_angle_alpha 90.00
_cell_angle_beta 90.00
_cell_angle_gamma 90.00
_symmetry_space_group_name_H-M 'C m c m'
_symmetry_Int_Tables_number 63
_symmetry_space_group_name_Hall '-C 2c 2'
loop_
_atom_site_label
_atom_site_type_symbol
_atom_site_fract_x
_atom_site_fract_y
_atom_site_fract_z
_atom_site_occupancy
Tm1 Tm 0.000 0.159 0.250 1
Cd1 Cd 0.000 0.325 0.750 1
Cd2 Cd 0.242 0.331 0.250 1
In1 In 0.245 0.000 0.000 1
```

Summary:
E_tot = -2.187 eV/atom
Energy of formation from the pure elements = -0.07 eV per atom
DOS(E_F) = 3.49 states/eV/f.u.


Record 7
First-principles (PBE) data for crystalline LiSi2AgSn at its relaxed geometry, as listed in the Alexandria database.

```
data_LiSi2AgSn
_chemical_formula_sum 'Li1 Si2 Ag1 Sn1'
_cell_length_a 4.563
_cell_length_b 4.563
_cell_length_c 4.669
_cell_angle_alpha 90.00
_cell_angle_beta 90.00
_cell_angle_gamma 90.00
_symmetry_space_group_name_H-M 'P 4/m m m'
_symmetry_Int_Tables_number 123
_symmetry_space_group_name_Hall '-P 4 2'
loop_
_atom_site_label
_atom_site_type_symbol
_atom_site_fract_x
_atom_site_fract_y
_atom_site_fract_z
_atom_site_occupancy
Li1 Li 0.000 0.000 0.000 1
Si1 Si 0.000 0.500 0.000 1
Ag1 Ag 0.000 0.000 0.500 1
Sn1 Sn 0.500 0.500 0.500 1
```

Summary:
E_tot = -3.331 eV/atom
DOS(E_F) = 2.44 states/eV/f.u.
Formation energy (no corrections) = 591 meV per atom


Record 8
First-principles (PBE) data for crystalline Pm2Ga4PdAu3 at its relaxed geometry, as listed in the Alexandria database.

```
data_Pm2Ga4PdAu3
_chemical_formula_sum 'Pm2 Ga4 Pd1 Au3'
_cell_length_a 4.379
_cell_length_b 4.379
_cell_length_c 10.596
_cell_angle_alpha 90.00
_cell_angle_beta 90.00
_cell_angle_gamma 90.00
_symmetry_space_group_name_H-M 'P -4 m 2'
_symmetry_Int_Tables_number 115
loop_
_symmetry_equiv_pos_as_xyz
'x,y,z'
'y,-x,-z'
'-x,-y,z'
'-y,x,-z'
'-x,y,z'
'-y,-x,-z'
'x,-y,z'
'y,x,-z'
loop_
_atom_site_label
_atom_site_type_symbol
_atom_site_fract_x
_atom_site_fract_y
_atom_site_fract_z
_atom_site_occupancy
Pm1 Pm 0.000 0.500 0.249 1
Ga1 Ga 0.000 0.000 0.500 1
Ga2 Ga 0.000 0.500 0.873 1
Ga3 Ga 0.500 0.500 0.500 1
Pd1 Pd 0.500 0.500 0.000 1
Au1 Au 0.000 0.000 0.000 1
Au2 Au 0.000 0.500 0.637 1
```

Summary:
E_tot = -4.346 eV/atom
Energy of formation from the pure elements = -0.68 eV per atom
DOS(E_F) = 6.29 states/eV/f.u.


Record 9
First-principles (PBE) data for crystalline Ba2ZrSO3 at its relaxed geometry, as listed in the Alexandria database.

```
data_Ba2ZrSO3
_chemical_formula_sum 'Ba4 Zr2 S2 O6'
_cell_length_a 4.275
_cell_length_b 5.052
_cell_length_c 13.670
_cell_angle_alpha 90.00
_cell_angle_beta 90.00
_cell_angle_gamma 90.00
_symmetry_space_group_name_H-M 'I m m m'
_symmetry_Int_Tables_number 71
_symmetry_space_group_name_Hall '-I 2 2'
loop_
_atom_site_label
_atom_site_type_symbol
_atom_site_fract_x
_atom_site_fract_y
_atom_site_fract_z
_atom_site_occupancy
Ba1 Ba 0.000 0.000 0.157 1
Zr1 Zr 0.000 0.000 0.500 1
S1 S 0.000 0.500 0.500 1
O1 O 0.000 0.000 0.344 1
O2 O 0.000 0.500 0.000 1
```

Summary:
E_tot = -7.013 eV/atom
DOS(E_F) = 0.00 states/eV/f.u.
Formation energy (no corrections) = -2528 meV per atom


Record 10
First-principles (PBE) data for crystalline TbTm5Tl5 at its relaxed geometry, as listed in the Alexandria database.

```
data_TbTm5Tl5
_chemical_formula_sum 'Tb2 Tm10 Tl10'
_cell_length_a 15.932
_cell_length_b 5.849
_cell_length_c 7.067
_cell_angle_alpha 90.00
_cell_angle_beta 99.18
_cell_angle_gamma 90.00
_symmetry_space_group_name_H-M 'C 1 2/m 1'
_symmetry_Int_Tables_number 12
loop_
_symmetry_equiv_pos_as_xyz
'x,y,z'
'-x,-y,-z'
'-x,y,-z'
'x,-y,z'
'x+1/2,y+1/2,z'
'-x+1/2,-y+1/2,-z'
'-x+1/2,y+1/2,-z'
'x+1/2,-y+1/2,z'
loop_
_atom_site_label
_atom_site_type_symbol
_atom_site_fract_x
_atom_site_fract_y
_atom_site_fract_z
_atom_site_occupancy
Tb1 Tb 0.000 0.000 0.000 1
Tm1 Tm 0.000 0.000 0.500 1
Tm2 Tm 0.131 0.500 0.406 1
Tm3 Tm 0.176 0.500 0.916 1
Tl1 Tl 0.000 0.500 0.000 1
Tl2 Tl 0.171 0.000 0.284 1
Tl3 Tl 0.176 0.000 0.733 1
```

Summary:
E_tot = -3.597 eV/atom
Energy of formation from the pure elements = -0.07 eV per atom
DOS(E_F) = 8.89 states/eV/f.u.


Record 11
First-principles (PBE) data for crystalline NaHg2Cl5 at its relaxed geometry, as listed in the Alexandria database.

```
data_NaHg2Cl5
_chemical_formula_sum 'Na4 Hg8 Cl20'
_cell_length_a 5.278
_cell_length_b 13.808
_cell_length_c 13.117
_cell_angle_alpha 90.00
_cell_angle_beta 90.00
_cell_angle_gamma 90.00
_symmetry_space_group_name_H-M 'C m c m'
_symmetry_Int_Tables_number 63
_symmetry_space_group_name_Hall '-C 2c 2'
loop_
_atom_site_label
_atom_site_type_symbol
_atom_site_fract_x
_atom_site_fract_y
_atom_site_fract_z
_atom_site_occupancy
Na1 Na 0.000 0.219 0.250 1
Hg1 Hg 0.000 0.130 0.561 1
Cl1 Cl 0.000 0.057 0.120 1
Cl2 Cl 0.000 0.209 0.750 1
Cl3 Cl 0.000 0.319 0.058 1
```

Summary:
E_tot = -2.237 eV/atom
Formation energy (no corrections) = -843 meV per atom
Excess energy over the best structure of this formula in the dataset = 0.20 eV/f.u.


Record 12
First-principles (PBE) data for crystalline FeReMo at its relaxed geometry, as listed in the Alexandria database.

```
data_FeReMo
_chemical_formula_sum 'Fe1 Re1 Mo1'
_cell_length_a 2.7176
_cell_length_b 2.7176
_cell_length_c 6.6810
_cell_angle_alpha 90.00
_cell_angle_beta 90.00
_cell_angle_gamma 120.00
_symmetry_space_group_name_H-M 'P 3 m 1'
_symmetry_Int_Tables_number 156
loop_
_symmetry_equiv_pos_as_xyz
'x,y,z'
'-y,x-y,z'
'-x+y,-x,z'
'-y,-x,z'
'-x+y,y,z'
'x,x-y,z'
loop_
_atom_site_label
_atom_site_type_symbol
_atom_site_fract_x
_atom_site_fract_y
_atom_site_fract_z
_atom_site_occupancy
Fe1 Fe 0.0000 0.0000 0.0000 1
Re1 Re 0.3333 0.6667 0.6910 1
Mo1 Mo 0.6667 0.3333 0.3286 1
```

Summary:
E_tot = -10.349 eV/atom
Energy of formation from the pure elements = 0.23 eV per atom
DOS(E_F) = 3.34 states/eV/f.u.
Excess energy over the best structure of this formula in the dataset = 0.64 eV/f.u.


Q: Which magnetization values were calculated for the entries above? A: 7.3, 6.7, 0.0, 0.0, 0.0, 0.0, 0.0, 0.0, 0.0, 0.0, 0.0, 1.5, in μB/f.u..